The following is a SCAN calculation of Be2FeBPd at its PBEsol-relaxed geometry, from Alexandria via LeMat-Bulk.

Computed properties:
**Energy relative to the elements**: 3.00 eV per formula unit

abc: 3.8619 3.8619 3.6413
angles: 90.00 90.00 90.00
Atoms (fractional coordinates):
Be  0.0000  0.5000  0.0000
Be  0.5000  0.0000  0.0000
Fe  0.0000  0.0000  0.0000
B  0.0000  0.0000  0.5000
Pd  0.5000  0.5000  0.5000

***

The following is a SCAN calculation of Li2POs at its PBEsol-relaxed geometry, from Alexandria via LeMat-Bulk.

Computed properties:
**Energy relative to the elements**: -0.21 eV per formula unit

abc: 8.5693 8.5693 8.5693
angles: 19.48 19.48 19.48
Atoms (fractional coordinates):
Li  0.0000  0.0000  0.0000
Li  0.2282  0.2282  0.2282
P  0.7460  0.7460  0.7460
Os  0.4764  0.4764  0.4764

***

Number 1: total energy -12.807 eV/atom. Number 2: total energy -21.817 eV/atom.